{
  "formula": "ZrTaGa",
  "functional": "PBE",
  "state": "optimized geometry",
  "total_energy_ev_per_atom": -7.0035,
  "total_magnetization_mub_per_cell": 1.54,
  "polymorph_energy_mev_per_atom": 1168,
  "cell": [[2.704, 1.847, 3.201], [-1.733, 2.966, 3.028], [-0.480, -1.223, 4.387]],
  "species": ["Ga", "Ta", "Zr"],
  "frac_coords": [[0.250, 0.250, 0.250], [0.000, 0.000, 0.000], [0.750, 0.750, 0.750]]
}